No. 1
First-principles (meta-GGA SCAN) data for Li9Fe3O2F14 at its PBEsol-relaxed geometry, as listed in the Alexandria database. Values from VASP.

```
&SYSTEM
  ibrav = 0, nat = 28, ntyp = 4
/
ATOMIC_SPECIES
F 19.00 F.upf
Li 6.94 Li.upf
O 16.00 O.upf
Fe 55.84 Fe.upf
ATOMIC_POSITIONS crystal
F 0.772 0.152 0.390
F 0.774 0.384 0.620
F 0.754 0.904 0.616
F 0.246 0.096 0.384
F 0.226 0.616 0.380
F 0.252 0.598 0.882
F 0.777 0.127 0.884
F 0.228 0.848 0.610
F 0.774 0.613 0.387
F 0.246 0.124 0.861
F 0.223 0.873 0.116
F 0.226 0.387 0.613
F 0.754 0.876 0.139
F 0.748 0.402 0.118
Li 0.000 0.000 0.500
Li 0.636 0.591 0.686
Li 0.500 0.000 0.500
Li 0.622 0.084 0.195
Li 0.378 0.916 0.805
Li 0.000 0.500 0.000
Li 0.986 0.234 0.740
Li 0.364 0.409 0.314
Li 0.014 0.766 0.260
O 0.246 0.345 0.098
O 0.754 0.655 0.902
Fe 0.000 0.000 0.000
Fe 0.500 0.500 0.000
Fe 0.000 0.500 0.500
CELL_PARAMETERS angstrom
5.730 -0.073 0.028
-2.917 5.032 -0.009
-2.698 -1.668 9.493
```

## Properties
crystal system	triclinic
density of states at the Fermi level	0.163	states/eV per atom
theoretical density	3.2	g/cm³
raw formation energy	-2.733	eV per atom
electronic total energy	-0.56294	Ry per atom
symmetry	P-1, No. 2

No. 2
First-principles (meta-GGA SCAN) data for LiFe2OF3 at its PBEsol-relaxed geometry, as listed in the Alexandria database. Values from VASP.

```
&SYSTEM
  ibrav = 0, nat = 14, ntyp = 4
/
ATOMIC_SPECIES
F 19.00 F.upf
Fe 55.84 Fe.upf
O 16.00 O.upf
Li 6.94 Li.upf
ATOMIC_POSITIONS crystal
F 0.754 0.265 0.228
F 0.735 0.246 0.772
F 0.265 0.754 0.228
F 0.246 0.246 0.772
F 0.754 0.754 0.228
F 0.246 0.735 0.772
Fe 0.000 0.000 0.000
Fe 0.000 0.500 0.500
Fe 0.500 0.000 0.500
Fe 0.000 0.000 0.500
O 0.774 0.774 0.678
O 0.226 0.226 0.322
Li 0.643 0.643 0.071
Li 0.357 0.357 0.929
CELL_PARAMETERS angstrom
6.041 0.000 0.000
3.021 5.232 0.000
3.021 1.744 4.820
```

## Properties
crystal system	trigonal
energy above the lowest structure with this stoichiometry	0.0	kJ/mol of atoms
theoretical density	4.2	g/cm³
raw formation energy	-2.205	eV per atom
electronic total energy	-0.74481	Ry per atom
symmetry	R-3m, No. 166

No. 3
First-principles (meta-GGA SCAN) data for Li5FeO4F at its PBEsol-relaxed geometry, as listed in the Alexandria database. Values from VASP.

```
&SYSTEM
  ibrav = 0, nat = 22, ntyp = 4
/
ATOMIC_SPECIES
Li 6.94 Li.upf
O 16.00 O.upf
F 19.00 F.upf
Fe 55.84 Fe.upf
ATOMIC_POSITIONS crystal
Li 0.324 0.085 0.548
Li 0.187 0.950 0.955
Li 0.322 0.988 0.256
Li 0.718 0.424 0.939
Li 0.813 0.050 0.455
Li 0.210 0.488 0.068
Li 0.676 0.915 0.048
Li 0.282 0.576 0.439
Li 0.678 0.012 0.756
Li 0.790 0.512 0.568
O 0.977 0.205 0.907
O 0.063 0.300 0.597
O 0.542 0.320 0.734
O 0.458 0.680 0.234
O 0.937 0.700 0.097
O 0.023 0.795 0.407
O 0.404 0.710 0.891
O 0.596 0.290 0.391
F 0.468 0.183 0.075
F 0.532 0.817 0.575
Fe 0.755 0.588 0.272
Fe 0.245 0.412 0.772
CELL_PARAMETERS angstrom
5.080 0.118 0.000
-1.896 4.681 0.000
0.000 0.000 8.800
```

## Properties
crystal system	monoclinic
theoretical density	2.7	g/cm³
raw formation energy	-2.138	eV per atom
electronic total energy	-0.54828	Ry per atom
symmetry	P2_1, No. 4

No. 4
First-principles (meta-GGA SCAN) data for Li2Fe3O3F5 at its PBEsol-relaxed geometry, as listed in the Alexandria database. Values from VASP.

```
&SYSTEM
  ibrav = 0, nat = 13, ntyp = 4
/
ATOMIC_SPECIES
F 19.00 F.upf
Li 6.94 Li.upf
O 16.00 O.upf
Fe 55.84 Fe.upf
ATOMIC_POSITIONS crystal
F 0.406 0.859 0.880
F 0.385 0.858 0.371
F 0.845 0.882 0.428
F 0.867 0.413 0.853
F 0.855 0.859 0.880
Li 0.111 0.636 0.620
Li 0.633 0.636 0.620
O 0.391 0.357 0.861
O 0.395 0.373 0.368
O 0.865 0.373 0.368
Fe 0.609 0.145 0.637
Fe 0.248 0.270 0.233
Fe 0.640 0.588 0.131
CELL_PARAMETERS angstrom
5.775 0.000 0.000
2.887 5.101 0.007
2.887 1.626 4.804
```

## Properties
crystal system	monoclinic
theoretical density	3.8	g/cm³
raw formation energy	-2.348	eV per atom
electronic total energy	-0.71286	Ry per atom
symmetry	Cm, No. 8

No. 5
First-principles (meta-GGA SCAN) data for Li3FeO2F at its PBEsol-relaxed geometry, as listed in the Alexandria database. Values from VASP.

```
&SYSTEM
  ibrav = 0, nat = 28, ntyp = 4
/
ATOMIC_SPECIES
F 19.00 F.upf
O 16.00 O.upf
Li 6.94 Li.upf
Fe 55.84 Fe.upf
ATOMIC_POSITIONS crystal
F 0.000 0.124 0.356
F 0.500 0.624 0.144
F 0.500 0.376 0.856
F 0.000 0.876 0.644
O 0.000 0.905 0.118
O 0.000 0.650 0.882
O 0.000 0.095 0.882
O 0.500 0.405 0.382
O 0.500 0.595 0.618
O 0.500 0.850 0.382
O 0.500 0.150 0.618
O 0.000 0.350 0.118
Li 0.500 0.600 0.836
Li 0.000 0.611 0.089
Li 0.500 0.847 0.168
Li 0.500 0.889 0.589
Li 0.000 0.347 0.332
Li 0.500 0.400 0.164
Li 0.500 0.153 0.832
Li 0.000 0.389 0.911
Li 0.000 0.900 0.336
Li 0.000 0.100 0.664
Li 0.500 0.111 0.411
Li 0.000 0.653 0.668
Fe 0.000 0.132 0.090
Fe 0.500 0.368 0.590
Fe 0.500 0.632 0.410
Fe 0.000 0.868 0.910
CELL_PARAMETERS angstrom
-1.866 -2.529 1.765
-1.478 -3.882 -7.122
7.924 -5.069 1.118
```

## Properties
crystal system	orthorhombic
theoretical density	3.0	g/cm³
raw formation energy	-2.134	eV per atom
electronic total energy	-0.59051	Ry per atom
symmetry	Pnnm, No. 58

No. 6
First-principles (meta-GGA SCAN) data for Li2FeOF3 at its PBEsol-relaxed geometry, as listed in the Alexandria database. Values from VASP.

```
&SYSTEM
  ibrav = 0, nat = 14, ntyp = 4
/
ATOMIC_SPECIES
F 19.00 F.upf
Li 6.94 Li.upf
O 16.00 O.upf
Fe 55.84 Fe.upf
ATOMIC_POSITIONS crystal
F 0.753 0.507 0.742
F 0.224 0.990 0.757
F 0.766 0.990 0.757
F 0.762 0.523 0.278
F 0.244 0.487 0.725
F 0.246 0.491 0.245
Li 0.994 0.988 0.504
Li 0.515 0.505 0.496
Li 0.989 0.505 0.496
Li 0.627 0.255 0.894
O 0.762 0.000 0.231
O 0.238 0.000 0.231
Fe 0.388 0.777 0.125
Fe 0.991 0.982 0.019
CELL_PARAMETERS angstrom
5.765 0.000 0.000
-2.883 5.061 -0.004
0.000 -3.332 4.802
```

## Properties
crystal system	monoclinic
energy above the lowest structure with this stoichiometry	0.0	kJ/mol of atoms
density of states at the Fermi level	0.000	states/eV per atom
theoretical density	3.4	g/cm³
raw formation energy	-2.646	eV per atom
electronic total energy	-0.61197	Ry per atom
symmetry	Cm, No. 8

No. 7
First-principles (meta-GGA SCAN) data for Li3Fe3O4F4 at its PBEsol-relaxed geometry, as listed in the Alexandria database. Values from VASP.

```
&SYSTEM
  ibrav = 0, nat = 14, ntyp = 4
/
ATOMIC_SPECIES
O 16.00 O.upf
Fe 55.84 Fe.upf
F 19.00 F.upf
Li 6.94 Li.upf
ATOMIC_POSITIONS crystal
O 0.000 0.214 0.222
O 0.000 0.710 0.549
O 0.500 0.726 0.294
O 0.500 0.317 0.462
Fe 0.000 0.492 0.358
Fe 0.500 0.512 0.629
Fe 0.500 0.004 0.161
F 0.500 0.715 0.811
F 0.500 0.219 0.971
F 0.000 0.274 0.720
F 0.000 0.790 0.054
Li 0.000 0.983 0.861
Li 0.500 0.940 0.473
Li 0.000 0.479 0.933
CELL_PARAMETERS angstrom
-2.133 1.743 0.505
-3.062 -3.672 -0.263
0.969 -1.468 9.160
```

## Properties
crystal system	monoclinic
density of states at the Fermi level	0.058	states/eV per atom
theoretical density	4.4	g/cm³
raw formation energy	-2.213	eV per atom
electronic total energy	-0.69105	Ry per atom
symmetry	Pm, No. 6

No. 8
First-principles (meta-GGA SCAN) data for Li6FeO5F at its PBEsol-relaxed geometry, as listed in the Alexandria database. Values from VASP.

```
&SYSTEM
  ibrav = 0, nat = 13, ntyp = 4
/
ATOMIC_SPECIES
O 16.00 O.upf
Li 6.94 Li.upf
F 19.00 F.upf
Fe 55.84 Fe.upf
ATOMIC_POSITIONS crystal
O 0.105 0.338 0.791
O 0.350 0.804 0.090
O 0.660 0.208 0.915
O 0.202 0.891 0.647
O 0.910 0.665 0.204
Li 0.714 0.481 0.062
Li 0.919 0.304 0.511
Li 0.506 0.081 0.742
Li 0.512 0.921 0.271
Li 0.077 0.708 0.477
Li 0.274 0.490 0.929
F 0.781 0.120 0.379
Fe 0.027 0.988 0.965
CELL_PARAMETERS angstrom
5.368 -0.003 0.004
2.490 4.777 -0.044
2.407 1.540 4.586
```

## Properties
crystal system	triclinic
theoretical density	2.8	g/cm³
raw formation energy	-2.053	eV per atom
electronic total energy	-0.53060	Ry per atom
symmetry	P1, No. 1

No. 9
First-principles (meta-GGA SCAN) data for Li3FeO2F2 at its PBEsol-relaxed geometry, as listed in the Alexandria database. Values from VASP.

```
&SYSTEM
  ibrav = 0, nat = 16, ntyp = 4
/
ATOMIC_SPECIES
O 16.00 O.upf
Li 6.94 Li.upf
Fe 55.84 Fe.upf
F 19.00 F.upf
ATOMIC_POSITIONS crystal
O 0.764 0.993 0.125
O 0.236 0.007 0.875
O 0.236 0.507 0.125
O 0.764 0.493 0.875
Li 0.000 0.250 0.378
Li 0.500 0.750 0.877
Li 0.500 0.750 0.364
Li 0.500 0.250 0.123
Li 0.000 0.750 0.622
Li 0.500 0.250 0.636
Fe 0.000 0.250 0.906
Fe 0.000 0.750 0.094
F 0.250 0.496 0.620
F 0.750 0.004 0.620
F 0.750 0.504 0.380
F 0.250 0.996 0.380
CELL_PARAMETERS angstrom
4.997 0.012 0.000
-1.601 4.762 0.000
0.000 0.000 5.855
```

## Properties
crystal system	monoclinic
theoretical density	3.5	g/cm³
raw formation energy	-2.466	eV per atom
electronic total energy	-0.59323	Ry per atom
symmetry	P2/c, No. 13

No. 10
First-principles (meta-GGA SCAN) data for Li4FeO2F2 at its PBEsol-relaxed geometry, as listed in the Alexandria database. Values from VASP.

```
&SYSTEM
  ibrav = 0, nat = 9, ntyp = 4
/
ATOMIC_SPECIES
Li 6.94 Li.upf
O 16.00 O.upf
Fe 55.84 Fe.upf
F 19.00 F.upf
ATOMIC_POSITIONS crystal
Li 0.659 0.029 0.652
Li 0.341 0.971 0.348
Li 0.146 0.733 0.974
Li 0.854 0.267 0.026
O 0.915 0.855 0.315
O 0.085 0.145 0.685
Fe 0.000 0.500 0.500
F 0.730 0.675 0.866
F 0.270 0.325 0.134
CELL_PARAMETERS angstrom
3.587 0.000 0.000
1.793 4.837 -0.018
1.793 0.939 5.137
```

## Properties
crystal system	monoclinic
theoretical density	2.9	g/cm³
raw formation energy	-2.312	eV per atom
electronic total energy	-0.55567	Ry per atom
symmetry	C2/m, No. 12

No. 11
First-principles (meta-GGA SCAN) data for Li2FeOF3 at its PBEsol-relaxed geometry, as listed in the Alexandria database. Values from VASP.

```
&SYSTEM
  ibrav = 0, nat = 28, ntyp = 4
/
ATOMIC_SPECIES
F 19.00 F.upf
Li 6.94 Li.upf
O 16.00 O.upf
Fe 55.84 Fe.upf
ATOMIC_POSITIONS crystal
F 0.970 0.744 0.754
F 0.744 0.030 0.504
F 0.735 0.970 0.003
F 0.508 0.752 0.757
F 0.970 0.265 0.753
F 0.030 0.735 0.253
F 0.030 0.256 0.254
F 0.265 0.030 0.503
F 0.248 0.508 0.007
F 0.492 0.248 0.257
F 0.752 0.492 0.507
F 0.256 0.970 0.004
Li 0.251 0.238 0.873
Li 0.249 0.994 0.249
Li 0.238 0.749 0.623
Li 0.994 0.751 0.999
Li 0.006 0.249 0.499
Li 0.751 0.006 0.749
Li 0.749 0.762 0.373
Li 0.762 0.251 0.123
O 0.721 0.514 0.979
O 0.279 0.486 0.479
O 0.486 0.721 0.229
O 0.514 0.279 0.729
Fe 0.495 0.269 0.510
Fe 0.731 0.495 0.760
Fe 0.505 0.731 0.010
Fe 0.269 0.505 0.260
CELL_PARAMETERS angstrom
5.752 0.000 0.000
0.000 5.752 0.000
0.000 0.000 8.084
```

## Properties
crystal system	tetragonal
energy above the lowest structure with this stoichiometry	9.8	kJ/mol of atoms
theoretical density	3.5	g/cm³
raw formation energy	-2.545	eV per atom
electronic total energy	-0.60452	Ry per atom
symmetry	P4_1, No. 76

No. 12
First-principles (meta-GGA SCAN) data for Li4FeOF5 at its PBEsol-relaxed geometry, as listed in the Alexandria database. Values from VASP.

```
&SYSTEM
  ibrav = 0, nat = 22, ntyp = 4
/
ATOMIC_SPECIES
Li 6.94 Li.upf
F 19.00 F.upf
Fe 55.84 Fe.upf
O 16.00 O.upf
ATOMIC_POSITIONS crystal
Li 0.590 0.445 0.240
Li 0.185 0.340 0.001
Li 0.912 0.066 0.249
Li 0.445 0.590 0.740
Li 0.066 0.912 0.749
Li 0.340 0.185 0.501
Li 0.261 0.747 0.257
Li 0.747 0.261 0.757
F 0.348 0.869 0.619
F 0.869 0.348 0.119
F 0.238 0.070 0.126
F 0.785 0.978 0.867
F 0.978 0.785 0.367
F 0.429 0.240 0.874
F 0.070 0.238 0.626
F 0.163 0.626 0.869
F 0.240 0.429 0.374
F 0.626 0.163 0.369
Fe 0.968 0.503 0.511
Fe 0.503 0.968 0.011
O 0.527 0.721 0.128
O 0.721 0.527 0.628
CELL_PARAMETERS angstrom
5.031 -0.009 -0.006
-2.460 4.389 -0.006
-0.783 -1.334 9.397
```

## Properties
crystal system	monoclinic
energy above the lowest structure with this stoichiometry	0.0	kJ/mol of atoms
density of states at the Fermi level	0.000	states/eV per atom
theoretical density	3.1	g/cm³
raw formation energy	-2.760	eV per atom
electronic total energy	-0.54774	Ry per atom
symmetry	Cc, No. 9

no.,calculated volume (A^3/atom)
1,9.7
2,10.9
3,9.6
4,10.9
5,10.1
6,10.0
7,8.9
8,9.1
9,8.7
10,9.9
11,9.6
12,9.4